No. 1
BMoAsSe2 after structural relaxation, computed with PBEsol.

The value obtained for the density is 6.94 g/cm³. For the uncorrected formation energy, the calculation gives 0.908 eV/atom.

Cell lengths 4.3911, 4.3911, 4.2126 Å; angles 90.00, 90.00, 90.00 degrees
Closest atoms and distances in Å follow each position.
Atoms (fractional coordinates):
B1 0.0000 0.0000 0.0000  2 As 2.11, 4 Se 2.20
Mo1 0.5000 0.5000 0.5000  8 Se 3.04, 4 As 3.10
As1 0.0000 0.0000 0.5000  2 B 2.11
Se1 0.0000 0.5000 0.0000  2 B 2.20
Se2 0.5000 0.0000 0.0000  2 B 2.20



No. 2
Ca2Al2FeSi4BHO16 after structural relaxation, computed with PBEsol.

The final energy is -422.69 eV per cell. The value obtained for the density is 3.32 g/cm³.

Cell lengths 7.1024, 8.9944, 9.2404 Å; angles 88.41, 77.50, 81.70 degrees
Closest atoms and distances in Å follow each position.
Atoms (fractional coordinates):
Ca1 0.1849 0.4187 0.0986  5 O 2.23-2.48
Ca2 0.2504 0.8946 0.6521  5 O 2.33-2.46
Ca3 0.7496 0.1054 0.3479  5 O 2.33-2.46
Ca4 0.8151 0.5813 0.9014  5 O 2.23-2.48
Al1 0.0523 0.2473 0.8005  6 O 1.85-1.97
Al2 0.3492 0.0787 0.9357  6 O 1.86-1.95
Al3 0.6508 0.9213 0.0643  6 O 1.86-1.95
Al4 0.9477 0.7527 0.1995  6 O 1.85-1.97
Fe1 0.2309 0.6025 0.4200  4 O 1.95-2.10
Fe2 0.7691 0.3975 0.5800  4 O 1.95-2.10
Si1 0.2046 0.2676 0.4502  4 O 1.61-1.66
Si2 0.2186 0.9780 0.2750  4 O 1.61-1.66
Si3 0.3086 0.5095 0.7428  4 O 1.62-1.66
Si4 0.3592 0.7307 0.9797  4 O 1.61-1.66
Si5 0.6408 0.2693 0.0203  4 O 1.61-1.66
Si6 0.6914 0.4905 0.2572  4 O 1.62-1.66
Si7 0.7814 0.0220 0.7250  4 O 1.61-1.66
Si8 0.7954 0.7324 0.5498  4 O 1.61-1.66
B1 0.4644 0.2104 0.6326  4 O 1.44-1.50
B2 0.5356 0.7896 0.3674  4 O 1.44-1.50
H1 0.0179 0.8736 0.9580  1 O 1.00
H2 0.9821 0.1264 0.0420  1 O 1.00
O1 0.0198 0.9335 0.2437  1 Si 1.61
O2 0.0449 0.3132 0.6037  1 Si 1.63
O3 0.0941 0.1788 0.9947  1 H 1.00
O4 0.1268 0.1342 0.3695  2 Si 1.65
O5 0.1269 0.4344 0.8428  1 Si 1.64
O6 0.2044 0.6752 0.1210  1 Si 1.63
O7 0.2251 0.4064 0.3373  1 Si 1.61
O8 0.2402 0.6388 0.6314  1 Si 1.62
O9 0.2750 0.8847 0.8991  1 Si 1.65, 1 H 1.81
O10 0.3238 0.1467 0.7449  1 B 1.44
O11 0.3290 0.8647 0.3849  1 B 1.50, 1 Si 1.66
O12 0.3812 0.0043 0.1267  1 Si 1.63
O13 0.4066 0.5866 0.8628  2 Si 1.65-1.66
O14 0.4158 0.1902 0.4861  1 B 1.49, 1 Si 1.66
O15 0.4338 0.2550 0.9812  1 Si 1.61
O16 0.4751 0.3734 0.6565  1 B 1.50, 1 Si 1.66
O17 0.5249 0.6266 0.3435  1 B 1.50, 1 Si 1.66
O18 0.5662 0.7450 0.0188  1 Si 1.61
O19 0.5842 0.8098 0.5139  1 B 1.49, 1 Si 1.66
O20 0.5934 0.4134 0.1372  2 Si 1.65-1.66
O21 0.6188 0.9957 0.8733  1 Si 1.63
O22 0.6710 0.1353 0.6151  1 B 1.50, 1 Si 1.66
O23 0.6762 0.8533 0.2551  1 B 1.44
O24 0.7250 0.1153 0.1009  1 Si 1.65, 1 H 1.81
O25 0.7598 0.3612 0.3686  1 Si 1.62
O26 0.7749 0.5936 0.6627  1 Si 1.61
O27 0.7956 0.3248 0.8790  1 Si 1.63
O28 0.8731 0.5656 0.1572  1 Si 1.64
O29 0.8732 0.8658 0.6305  2 Si 1.65
O30 0.9059 0.8212 0.0053  1 H 1.00
O31 0.9551 0.6868 0.3963  1 Si 1.63
O32 0.9802 0.0665 0.7563  1 Si 1.61



No. 3
TeI2BrN after structural relaxation, computed with PBEsol.

The value obtained for the density is 5.59 g/cm³. For the uncorrected formation energy, the calculation gives 1.177 eV/atom.

Cell lengths 6.1915, 6.1915, 3.6809 Å; angles 90.00, 90.00, 90.00 degrees
Closest atoms and distances in Å follow each position.
Atoms (fractional coordinates):
Te1 0.0000 0.0000 0.0000  8 I 3.60, 2 Te 3.68
I1 0.0000 0.5000 0.5000  2 Br 3.10
I2 0.5000 0.0000 0.5000  2 Br 3.10
Br1 0.5000 0.5000 0.5000  2 N 1.84
N1 0.5000 0.5000 0.0000  2 Br 1.84



No. 4
Tc3PbC after structural relaxation, computed with PBEsol.

The formation energy comes out at 4.054 eV/atom. The value obtained for the density is 6.69 g/cm³.

Cell lengths 5.0320, 5.0320, 5.0320 Å; angles 90.00, 90.00, 90.00 degrees
Closest atoms and distances in Å follow each position.
Atoms (fractional coordinates):
Tc1 0.0000 0.0000 0.5000  2 Pb 2.52
Tc2 0.0000 0.5000 0.0000  2 Pb 2.52
Tc3 0.5000 0.0000 0.0000  2 Pb 2.52
Pb1 0.0000 0.0000 0.0000  6 Tc 2.52
C1 0.5000 0.5000 0.5000  12 Tc 3.56



No. 5
ScTeO3F after structural relaxation, computed with PBEsol.

The value obtained for the density is 4.64 g/cm³. For the uncorrected formation energy, the calculation gives -2.434 eV/atom.

Cell lengths 5.6434, 21.9589, 5.5394 Å; angles 90.00, 90.00, 90.00 degrees
Closest atoms and distances in Å follow each position.
Atoms (fractional coordinates):
Sc1 0.0852 0.2500 0.2500  4 F 2.02-2.06, 2 O 2.06
Sc2 0.2500 0.0000 0.1750  6 O 2.05-2.16
Sc3 0.2500 0.5000 0.3250  6 O 2.05-2.16
Sc4 0.4148 0.7500 0.2500  4 F 2.02-2.06, 2 O 2.06
Sc5 0.5852 0.2500 0.7500  4 F 2.02-2.06, 2 O 2.06
Sc6 0.7500 0.0000 0.8250  6 O 2.05-2.16
Sc7 0.7500 0.5000 0.6750  6 O 2.05-2.16
Sc8 0.9148 0.7500 0.7500  4 F 2.02-2.06, 2 O 2.06
Te1 0.2163 0.6088 0.8108  3 O 1.89-1.95
Te2 0.2163 0.8912 0.6892  3 O 1.89-1.95
Te3 0.2837 0.1088 0.6892  3 O 1.89-1.95
Te4 0.2837 0.3912 0.8108  3 O 1.89-1.95
Te5 0.7163 0.6088 0.1892  3 O 1.89-1.95
Te6 0.7163 0.8912 0.3108  3 O 1.89-1.95
Te7 0.7837 0.1088 0.3108  3 O 1.89-1.95
Te8 0.7837 0.3912 0.1892  3 O 1.89-1.95
O1 0.0532 0.1614 0.3656  1 Te 1.93, 1 Sc 2.06
O2 0.0532 0.3386 0.1344  1 Te 1.93, 1 Sc 2.06
O3 0.0579 0.5515 0.5943  1 Te 1.95, 2 Sc 2.12-2.16
O4 0.0579 0.9485 0.9057  1 Te 1.95, 2 Sc 2.12-2.16
O5 0.1223 0.5607 0.0772  1 Te 1.89, 1 Sc 2.05
O6 0.1223 0.9393 0.4228  1 Te 1.89, 1 Sc 2.05
O7 0.3777 0.0607 0.4228  1 Te 1.89, 1 Sc 2.05
O8 0.3777 0.4393 0.0772  1 Te 1.89, 1 Sc 2.05
O9 0.4421 0.0515 0.9057  1 Te 1.95, 2 Sc 2.12-2.16
O10 0.4421 0.4485 0.5943  1 Te 1.95, 2 Sc 2.12-2.16
O11 0.4468 0.6614 0.1344  1 Te 1.93, 1 Sc 2.06
O12 0.4468 0.8386 0.3656  1 Te 1.93, 1 Sc 2.06
O13 0.5532 0.1614 0.6344  1 Te 1.93, 1 Sc 2.06
O14 0.5532 0.3386 0.8656  1 Te 1.93, 1 Sc 2.06
O15 0.5579 0.5515 0.4057  1 Te 1.95, 2 Sc 2.12-2.16
O16 0.5579 0.9485 0.0943  1 Te 1.95, 2 Sc 2.12-2.16
O17 0.6223 0.5607 0.9228  1 Te 1.89, 1 Sc 2.05
O18 0.6223 0.9393 0.5772  1 Te 1.89, 1 Sc 2.05
O19 0.8777 0.0607 0.5772  1 Te 1.89, 1 Sc 2.05
O20 0.8777 0.4393 0.9228  1 Te 1.89, 1 Sc 2.05
O21 0.9421 0.0515 0.0943  1 Te 1.95, 2 Sc 2.12-2.16
O22 0.9421 0.4485 0.4057  1 Te 1.95, 2 Sc 2.12-2.16
O23 0.9468 0.6614 0.8656  1 Te 1.93, 1 Sc 2.06
O24 0.9468 0.8386 0.6344  1 Te 1.93, 1 Sc 2.06
F1 0.1738 0.7276 0.5037  2 Sc 2.02-2.06
F2 0.1738 0.7724 0.9963  2 Sc 2.02-2.06
F3 0.3262 0.2276 0.9963  2 Sc 2.02-2.06
F4 0.3262 0.2724 0.5037  2 Sc 2.02-2.06
F5 0.6738 0.7276 0.4963  2 Sc 2.02-2.06
F6 0.6738 0.7724 0.0037  2 Sc 2.02-2.06
F7 0.8262 0.2276 0.0037  2 Sc 2.02-2.06
F8 0.8262 0.2724 0.4963  2 Sc 2.02-2.06



No. 6
Zr2TaAu after structural relaxation, computed with PBEsol.

The value obtained for the excess energy over the best structure of this formula in the dataset is 0 meV per atom. The formation energy comes out at -0.262 eV/atom. The value obtained for the density is 11.99 g/cm³.

Cell lengths 3.2171, 3.5458, 6.8057 Å; angles 90.00, 90.00, 90.00 degrees
Closest atoms and distances in Å follow each position.
Atoms (fractional coordinates):
Zr1 0.0000 0.0000 0.2472  4 Ta 2.93, 4 Au 2.95, 2 Zr 3.22
Zr2 0.0000 0.0000 0.7528  4 Ta 2.93, 4 Au 2.95, 2 Zr 3.22
Ta1 0.5000 0.5000 0.0000  8 Zr 2.93, 2 Ta 3.22
Au1 0.5000 0.5000 0.5000  8 Zr 2.95, 2 Au 3.22